A plane-wave DFT calculation with GGA-PBE was carried out for a geometry-optimized HfZrPdSe2 structure.

## Properties
Formation energy without anion corrections in kJ per mole of atoms: 13
Space group: P4/mmm (123)
DOS(E_F) in states/eV per cell: 4.97

Cell: 5.0351 5.0351 4.9942 Å, 90.00 90.00 90.00°
With the nearest neighbours (Å) after each atom.
Fractional coordinates of all 5 atoms:
1 Hf 0.0000 0.0000 0.0000  8 Se 3.55, 4 Pd 3.56
2 Zr 0.5000 0.5000 0.5000  2 Pd 2.50, 4 Se 2.52
3 Pd 0.5000 0.5000 0.0000  2 Zr 2.50
4 Se 0.0000 0.5000 0.5000  2 Zr 2.52
5 Se 0.5000 0.0000 0.5000  2 Zr 2.52



A plane-wave DFT calculation with GGA-PBE was carried out for a geometry-optimized HfSiPd3 structure.

## Properties
Formation energy without anion corrections in kJ per mole of atoms: -16
Space group: Pm-3m (221)
E above lowest polymorph in meV/atom: 0
DOS(E_F) in states/eV per cell: 3.57

Cell: 4.4989 4.4989 4.4989 Å, 90.00 90.00 90.00°
With the nearest neighbours (Å) after each atom.
Fractional coordinates of all 5 atoms:
1 Hf 0.0000 0.0000 0.0000  12 Pd 3.18
2 Si 0.5000 0.5000 0.5000  6 Pd 2.25
3 Pd 0.0000 0.5000 0.5000  2 Si 2.25
4 Pd 0.5000 0.0000 0.5000  2 Si 2.25
5 Pd 0.5000 0.5000 0.0000  2 Si 2.25



A plane-wave DFT calculation with GGA-PBE was carried out for a geometry-optimized Hf2SiPd structure.

## Properties
Formation energy without anion corrections in kJ per mole of atoms: -20
Space group: I-42d (122)
DOS(E_F) in states/eV per cell: 6.69

Cell: 5.9185 5.9185 5.9185 Å, 103.75 103.75 121.63°
With the nearest neighbours (Å) after each atom.
Fractional coordinates of all 8 atoms:
1 Hf 0.1229 0.6250 0.9979  2 Pd 2.67, 2 Si 2.69, 2 Hf 2.89
2 Hf 0.3750 0.3729 0.4979  2 Pd 2.67, 2 Si 2.69, 2 Hf 2.89
3 Hf 0.6271 0.1250 0.0021  2 Pd 2.67, 2 Si 2.69, 2 Hf 2.89
4 Hf 0.8750 0.8771 0.5021  2 Pd 2.67, 2 Si 2.69, 2 Hf 2.89
5 Si 0.2500 0.7500 0.5000  4 Hf 2.69, 2 Pd 2.89
6 Si 0.5000 0.5000 0.0000  4 Hf 2.69, 2 Pd 2.89
7 Pd 0.0000 0.0000 0.0000  4 Hf 2.67, 2 Si 2.89
8 Pd 0.7500 0.2500 0.5000  4 Hf 2.67, 2 Si 2.89



A plane-wave DFT calculation with GGA-PBE was carried out for a geometry-optimized HfSiPd6 structure.

## Properties
Formation energy without anion corrections in kJ per mole of atoms: -40
Space group: C2/m (12)
DOS(E_F) in states/eV per cell: 4.39

Cell: 4.7757 4.7757 7.1959 Å, 110.43 110.43 70.90°
With the nearest neighbours (Å) after each atom.
Fractional coordinates of all 8 atoms:
1 Hf 0.0000 0.0000 0.0000  10 Pd 2.73-2.95
2 Si 0.5000 0.5000 0.5000  6 Pd 2.39
3 Pd 0.0717 0.5827 0.2112  1 Si 2.39
4 Pd 0.1769 0.1769 0.4541  1 Si 2.39
5 Pd 0.4173 0.9283 0.7888  1 Si 2.39
6 Pd 0.5827 0.0717 0.2112  1 Si 2.39
7 Pd 0.8231 0.8231 0.5459  1 Si 2.39
8 Pd 0.9283 0.4173 0.7888  1 Si 2.39